# 1
DFT (PBE-GGA) results for a relaxed structure of HfZrSc2Ta.

Cell lengths 4.9436, 4.9436, 5.0417 Å; angles 90.00, 90.00, 90.00 degrees
With the nearest neighbours (Å) after each atom.
Element x y z (fractional)
Hf (0.0000, 0.0000, 0.0000)  4 Ta 3.50, 8 Sc 3.53
Zr (0.5000, 0.5000, 0.5000)  4 Sc 2.47, 2 Ta 2.52
Sc (0.0000, 0.5000, 0.5000)  2 Zr 2.47
Sc (0.5000, 0.0000, 0.5000)  2 Zr 2.47
Ta (0.5000, 0.5000, 0.0000)  2 Zr 2.52

Properties
- E (eV/atom) = -7.46
- energy of formation (eV/atom) = 1.14
- crystal system = tetragonal



# 2
DFT (PBE-GGA) results for a relaxed structure of TbHfSc.

Cell lengths 3.2812, 5.1391, 9.2329 Å; angles 90.00, 90.06, 90.00 degrees
With the nearest neighbours (Å) after each atom.
Element x y z (fractional)
Tb (0.2492, 0.2500, 0.1138)  2 Tb 3.28, 5 Sc 3.35-3.49, 2 Hf 3.50
Tb (0.7508, 0.7500, 0.8862)  2 Tb 3.28, 5 Sc 3.35-3.49, 2 Hf 3.50
Hf (0.2502, 0.7500, 0.5517)  4 Sc 3.08-3.12, 6 Hf 3.19-3.28
Hf (0.7498, 0.2500, 0.4483)  4 Sc 3.08-3.12, 6 Hf 3.19-3.28
Sc (0.2503, 0.2500, 0.7362)  4 Hf 3.08-3.12, 2 Sc 3.28, 4 Tb 3.35
Sc (0.7497, 0.7500, 0.2638)  4 Hf 3.08-3.12, 2 Sc 3.28, 4 Tb 3.35

Properties
- E (eV/atom) = -6.94
- energy of formation (eV/atom) = 0.03
- crystal system = monoclinic
- energy relative to the lowest polymorph listed for this composition (meV/atom) = 0



Copy entry 2 word for word.
DFT (PBE-GGA) results for a relaxed structure of TbHfSc.

Cell lengths 3.2812, 5.1391, 9.2329 Å; angles 90.00, 90.06, 90.00 degrees
With the nearest neighbours (Å) after each atom.
Element x y z (fractional)
Tb (0.2492, 0.2500, 0.1138)  2 Tb 3.28, 5 Sc 3.35-3.49, 2 Hf 3.50
Tb (0.7508, 0.7500, 0.8862)  2 Tb 3.28, 5 Sc 3.35-3.49, 2 Hf 3.50
Hf (0.2502, 0.7500, 0.5517)  4 Sc 3.08-3.12, 6 Hf 3.19-3.28
Hf (0.7498, 0.2500, 0.4483)  4 Sc 3.08-3.12, 6 Hf 3.19-3.28
Sc (0.2503, 0.2500, 0.7362)  4 Hf 3.08-3.12, 2 Sc 3.28, 4 Tb 3.35
Sc (0.7497, 0.7500, 0.2638)  4 Hf 3.08-3.12, 2 Sc 3.28, 4 Tb 3.35

Properties
- E (eV/atom) = -6.94
- energy of formation (eV/atom) = 0.03
- crystal system = monoclinic
- energy relative to the lowest polymorph listed for this composition (meV/atom) = 0



Which of these has the highest energy of formation?
HfZrSc2Ta



Number 2 is which compound?
TbHfSc



Number 2 is which compound?
TbHfSc